[1]
Here is a relaxed structure of PaAgTe5 from the Alexandria database. Energies are from PBE.

Cell and atoms, written as POSCAR:
```
PaAgTe5
1.0
6.7894 -4.4059 0.0000
6.7894 4.4059 0.0000
-6.6201 0.0000 9.0168
Pa Ag Te
2 2 10
direct
0.0648 0.9352 0.7500 Pa
0.9352 0.0648 0.2500 Pa
0.5000 0.5000 0.0000 Ag
0.5000 0.5000 0.5000 Ag
0.0913 0.7998 0.4454 Te
0.2002 0.9087 0.0546 Te
0.2274 0.3045 0.4214 Te
0.3045 0.2274 0.9214 Te
0.4123 0.5877 0.7500 Te
0.5877 0.4123 0.2500 Te
0.6955 0.7726 0.0786 Te
0.7726 0.6955 0.5786 Te
0.7998 0.0913 0.9454 Te
0.9087 0.2002 0.5546 Te
```

Output
E_form (uncorrected) (eV per formula unit): -1.19


[2]
Here is a relaxed structure of Mg2ZnAg3 from the Alexandria database. Energies are from PBE.

Cell and atoms, written as POSCAR:
```
Mg2ZnAg3
1.0
2.2998 -6.8971 0.0000
2.2998 6.8971 0.0000
0.0000 0.0000 6.6617
Mg Zn Ag
4 2 6
direct
0.0000 0.0000 0.0000 Mg
0.0000 0.0000 0.5000 Mg
0.3347 0.6653 0.0000 Mg
0.6653 0.3347 0.0000 Mg
0.3389 0.6611 0.5000 Zn
0.6611 0.3389 0.5000 Zn
0.1717 0.8283 0.2635 Ag
0.1717 0.8283 0.7365 Ag
0.5000 0.5000 0.2518 Ag
0.5000 0.5000 0.7482 Ag
0.8283 0.1717 0.2635 Ag
0.8283 0.1717 0.7365 Ag
```

Output
Energy of formation (eV per atom): -0.18


no.,N(E_F) (states/eV/atom)
1,0.642
2,0.257